# Ca2Fe3O8

An optimized crystal structure of Ca2Fe3O8 (GGA+U, Alexandria).

Calculated values
spin magnetization: 5.94 μB/f.u.
volume: 12.372 Å³ per atom
energy above the most stable polymorph in this dataset: 105 meV per atom

a = 5.9576 Å, b = 5.9576 Å, c = 10.4653 Å
α = 90.00°, β = 90.00°, γ = 120.00°
Closest atoms and distances in Å follow each position.
Element x y z (fractional)
Ca: 0.3333 0.6667 0.0000  6 O 2.31-2.40
Ca: 0.3333 0.6667 0.4061  4 O 2.14-2.27
Ca: 0.6667 0.3333 0.5000  6 O 2.31-2.40
Ca: 0.6667 0.3333 0.9061  4 O 2.14-2.27
Fe: 0.1647 0.3294 0.7205  6 O 1.89-2.02
Fe: 0.1647 0.8353 0.7205  6 O 1.89-2.02
Fe: 0.3294 0.1647 0.2205  6 O 1.89-2.02
Fe: 0.6706 0.8353 0.7205  6 O 1.89-2.02
Fe: 0.8353 0.1647 0.2205  6 O 1.89-2.02
Fe: 0.8353 0.6706 0.2205  6 O 1.89-2.02
O: 0.0000 0.0000 0.3176  3 Fe 1.98
O: 0.0000 0.0000 0.8176  3 Fe 1.98
O: 0.0440 0.5220 0.8202  2 Fe 1.94, 1 Ca 2.14
O: 0.1534 0.3068 0.1307  2 Fe 1.89
O: 0.1534 0.8466 0.1307  2 Fe 1.89
O: 0.3068 0.1534 0.6307  2 Fe 1.89
O: 0.3333 0.6667 0.6230  3 Fe 2.02
O: 0.4780 0.5220 0.8202  2 Fe 1.94, 1 Ca 2.14
O: 0.4780 0.9560 0.8202  2 Fe 1.94, 1 Ca 2.14
O: 0.5220 0.0440 0.3202  2 Fe 1.94, 1 Ca 2.14
O: 0.5220 0.4780 0.3202  2 Fe 1.94, 1 Ca 2.14
O: 0.6667 0.3333 0.1230  3 Fe 2.02
O: 0.6932 0.8466 0.1307  2 Fe 1.89
O: 0.8466 0.1534 0.6307  2 Fe 1.89
O: 0.8466 0.6932 0.6307  2 Fe 1.89
O: 0.9560 0.4780 0.3202  2 Fe 1.94, 1 Ca 2.14